a:
A relaxed structure of NaLaW2O8. Source: Alexandria, functional PBE with a Hubbard U.

Lattice parameters (Å, degrees): 5.4371 5.4371 11.6900 90.00 90.00 90.00
With the nearest neighbours (Å) after each atom.
Space group I-4 (No. 82)
One atom of each set of equivalent atoms:
1 Na 0.0000 0.0000 0.0000  8 O 2.55-2.61
2 La 0.0000 0.5000 0.7500  8 O 2.50-2.55
3 W 0.0000 0.0000 0.5000  4 O 1.83
4 W 0.0000 0.5000 0.2500  4 O 1.83
5 O 0.1454 0.2367 0.5879  1 W 1.83
6 O 0.1548 0.7380 0.1663  1 W 1.83

b:
A relaxed structure of NaLaW2O8. Source: Alexandria, functional PBE with a Hubbard U.

Lattice parameters (Å, degrees): 7.6481 7.6481 6.8527 90.00 90.00 90.00
With the nearest neighbours (Å) after each atom.
Space group I-4m2 (No. 119)
One atom of each set of equivalent atoms:
1 Na 0.0000 0.0000 0.0000  8 O 2.49-2.77
2 La 0.0000 0.5000 0.7500  8 O 2.45-2.66
3 W 0.0000 0.0000 0.5000  4 O 1.81
4 W 0.0000 0.5000 0.2500  4 O 1.82
5 O 0.0000 0.1913 0.6562  1 W 1.81
6 O 0.0000 0.3170 0.0803  1 W 1.82

The data favor a; the next most stable structure lies 3.2 kJ/mol of atoms above it.